! Mg2InBi (PBE, optimized geometry); values from VASP
&SYSTEM
  ibrav = 0, nat = 8, ntyp = 3
/
ATOMIC_SPECIES
Mg 24.30 Mg.upf
In 114.82 In.upf
Bi 208.98 Bi.upf
ATOMIC_POSITIONS angstrom
Mg 6.1927 2.0303 -0.8148
Mg 2.0303 2.0642 0.8148
Mg -2.0642 2.0982 2.4443
Mg 2.0982 2.0642 4.0738
In 4.1285 0.0000 1.6295
In 0.0000 0.0000 3.2590
Bi 0.0000 0.0000 0.0000
Bi 0.0000 4.1285 1.6295
CELL_PARAMETERS angstrom
-4.1285 4.1285 3.2590
4.1285 -4.1285 3.2590
4.1285 4.1285 -3.2590
! Calculated volume = 222 Å³/cell
! ΔE_f = 27 kJ/mol of formula units
! Crystal system = tetragonal
! Total magnetization = 0.0000 μB/atom
! E above lowest polymorph = 0.172 eV/atom
! Space group = I-42d, No. 122